Material: MnZnCd2O4
Method: DFT, PBE+U
State: relaxed

abc: 3.2471 5.6200 5.6745
angles: 109.36 90.00 90.00
Last column: magnetic moment on the atom in μB.
Fractional positions:
1 Mn 0.5000 0.5000 0.0000  4.62
2 Zn 0.0000 0.0000 0.0000  0.00
3 Cd 0.5000 0.0000 0.5000  0.03
4 Cd 0.0000 0.5000 0.5000  0.00
5 O 0.5000 0.2374 0.2253  0.02
6 O 0.5000 0.7626 0.7747  0.02
7 O 0.0000 0.2549 0.7735  0.04
8 O 0.0000 0.7451 0.2265  0.04

Summary:
Its crystal system is monoclinic. The calculation puts the final energy at -5.01 eV/atom. The calculated density is 6.95 g/cm3. For the volume, the calculation gives 97.70 Å³ per cell.